VASP calculation (PBE) on an optimized crystal structure of TaMnCr2.

Cell and atoms, written as POSCAR:
```
TaMnCr2
1.0
-3.734 0.316 1.887
-1.839 -1.758 -3.337
3.168 -1.963 1.929
Mn Ta Cr
1 1 2
Direct
0.500 0.500 0.000
0.750 0.250 0.500
0.000 0.000 0.000
0.250 0.750 0.500
```

Calculated values
* theoretical density: 10.81 Mg/m³
* ΔE to the lowest computed polymorph: 10.1 meV/atom
* energy relative to the elements: 0.010 eV per atom

VASP calculation (PBE) on an optimized crystal structure of TaMnCr2.

Cell and atoms, written as POSCAR:
```
TaMnCr2
1.0
-4.075 0.048 -0.094
0.027 -1.715 -2.020
-0.107 -4.285 2.473
Ta Mn Cr
1 1 2
Direct
0.500 0.750 0.746
0.000 0.507 0.482
0.000 0.000 0.027
0.500 0.243 0.245
```

Calculated values
* theoretical density: 10.73 Mg/m³
* ΔE to the lowest computed polymorph: 99.1 meV/atom
* energy relative to the elements: 0.099 eV per atom

VASP calculation (PBE) on an optimized crystal structure of TaMnCr2.

Cell and atoms, written as POSCAR:
```
TaMnCr2
1.0
-0.589 2.401 -0.929
-1.261 -0.435 2.280
6.283 3.114 4.070
Cr Mn Ta
2 1 1
Direct
0.000 0.000 0.022
0.500 0.500 0.251
0.000 0.000 0.479
0.500 0.500 0.748
```

Calculated values
* theoretical density: 10.64 Mg/m³
* ΔE to the lowest computed polymorph: 139.8 meV/atom
* energy relative to the elements: 0.140 eV per atom

Which of these has the highest ΔE to the lowest computed polymorph?
number 3

What is the theoretical density in the second record?
10.73 Mg/m³